# GGA+U NpNiRhO6, relaxed
data_NpNiRhO6
_chemical_formula_sum 'Np2 Ni2 Rh2 O12'
_cell_length_a 5.197
_cell_length_b 5.197
_cell_length_c 8.872
_cell_angle_alpha 90.00
_cell_angle_beta 90.00
_cell_angle_gamma 120.00
_space_group_name_H-M_alt 'P 1'
_space_group_IT_number 1
loop_
_space_group_symop_operation_xyz
'x,y,z'
loop_
_atom_site_label
_atom_site_type_symbol
_atom_site_fract_x
_atom_site_fract_y
_atom_site_fract_z
_atom_site_occupancy
Np1 Np 0.333 0.667 0.250 1
Np2 Np 0.667 0.333 0.750 1
Ni1 Ni 0.333 0.667 0.750 1
Ni2 Ni 0.667 0.333 0.250 1
Rh1 Rh 0.000 0.000 0.000 1
Rh2 Rh 0.000 0.000 0.500 1
O1 O 0.004 0.331 0.127 1
O2 O 0.004 0.673 0.373 1
O3 O 0.327 0.331 0.373 1
O4 O 0.327 0.996 0.127 1
O5 O 0.331 0.004 0.627 1
O6 O 0.331 0.327 0.873 1
O7 O 0.669 0.673 0.127 1
O8 O 0.669 0.996 0.373 1
O9 O 0.673 0.004 0.873 1
O10 O 0.673 0.669 0.627 1
O11 O 0.996 0.327 0.627 1
O12 O 0.996 0.669 0.873 1
# * total magnetization: 0.228 μB/atom
# * raw total energy: -7.480 eV per atom